## CuSiAu (PBE)

Data for a relaxed CuSiAu crystal.

**Uncorrected formation energy**: -3.4 kJ/mol of formula units
**Calculated volume**: 16.2 A^3/atom
**Raw total energy**: -4.277 eV/atom
**ΔE to the lowest computed polymorph**: 0 meV per atom

Unit cell a=6.8801 b=6.4373 c=4.1627 alpha=77.68 beta=66.08 gamma=36.24
Element x y z (fractional)
Cu 0.0000 0.0000 0.5000
Cu 0.5000 0.5000 0.0000
Si 0.1095 0.1095 0.8905
Si 0.8905 0.8905 0.1095
Au 0.3239 0.3239 0.6761
Au 0.6761 0.6761 0.3239